! Y2Cd2Ir (PBE, relaxed); values from VASP
! Energy of formation ... -135 meV/atom
! Space group ... P4/mbm, No. 127
! V ... 23.627 Å³/atom
! Calculated total energy ... -4.8590 eV/atom
! DOS(E_F) ... 11.27 states/eV/cell
! Spin magnetization ... 0.00 Bohr magnetons per cell
&SYSTEM
  ibrav = 0, nat = 10, ntyp = 3
/
ATOMIC_SPECIES
Y 88.91 Y.upf
Ir 192.22 Ir.upf
Cd 112.41 Cd.upf
CELL_PARAMETERS angstrom
-5.0116 -3.0322 -4.3346
1.8042 -6.5928 2.5259
-3.0364 0.4054 3.2271
ATOMIC_POSITIONS crystal
Y 0.8210 0.3210 0.5000
Ir 0.0000 0.0000 0.0000
Cd 0.1331 0.3669 0.0000
Y 0.6790 0.8210 0.5000
Cd 0.8669 0.6331 0.0000
Y 0.3210 0.1790 0.5000
Cd 0.6331 0.1331 0.0000
Y 0.1790 0.6790 0.5000
Ir 0.5000 0.5000 0.0000
Cd 0.3669 0.8669 0.0000



! Ca3MnB (PBE, relaxed); values from VASP
! Energy of formation ... 1266 meV/atom
! Space group ... Pm-3m, No. 221
! V ... 30.404 Å³/atom
! Calculated total energy ... -3.1041 eV/atom
! DOS(E_F) ... 5.87 states/eV/cell
! Spin magnetization ... 2.66 Bohr magnetons per cell
&SYSTEM
  ibrav = 0, nat = 5, ntyp = 3
/
ATOMIC_SPECIES
B 10.81 B.upf
Ca 40.08 Ca.upf
Mn 54.94 Mn.upf
CELL_PARAMETERS angstrom
-4.8603 -0.9805 -1.9750
2.1806 -1.4295 -4.6568
0.3266 -5.0477 1.7024
ATOMIC_POSITIONS crystal
B 0.5000 0.5000 0.5000
Ca 0.5000 0.0000 0.0000
Mn 0.0000 0.0000 0.0000
Ca 0.0000 0.5000 0.0000
Ca 0.0000 0.0000 0.5000



! YBe2Pb (PBE, relaxed); values from VASP
! Energy of formation ... -69 meV/atom
! Space group ... Cm, No. 8
! V ... 19.082 Å³/atom
! Calculated total energy ... -4.4752 eV/atom
! DOS(E_F) ... 1.64 states/eV/cell
! Spin magnetization ... 0.00 Bohr magnetons per cell
&SYSTEM
  ibrav = 0, nat = 4, ntyp = 3
/
ATOMIC_SPECIES
Be 9.01 Be.upf
Pb 207.20 Pb.upf
Y 88.91 Y.upf
CELL_PARAMETERS angstrom
3.8886 -0.0058 0.0159
1.9472 3.3660 0.0159
1.9464 1.1207 5.8370
ATOMIC_POSITIONS crystal
Be 0.0448 0.0448 0.8655
Pb 0.4695 0.4695 0.5953
Y 0.2740 0.2740 0.1731
Be 0.7116 0.7116 0.8662



! Tb4GaBiC (PBE, relaxed); values from VASP
! Energy of formation ... -546 meV/atom
! Space group ... Cmcm, No. 63
! V ... 26.198 Å³/atom
! Calculated total energy ... -5.4966 eV/atom
! DOS(E_F) ... 3.17 states/eV/cell
! Spin magnetization ... 0.00 Bohr magnetons per cell
&SYSTEM
  ibrav = 0, nat = 14, ntyp = 4
/
ATOMIC_SPECIES
Tb 158.93 Tb.upf
C 12.01 C.upf
Ga 69.72 Ga.upf
Bi 208.98 Bi.upf
CELL_PARAMETERS angstrom
6.8147 0.0000 0.0000
0.0000 6.8202 0.0000
-3.4073 0.0000 7.8912
ATOMIC_POSITIONS crystal
Tb 0.9170 0.2500 0.8340
Tb 0.5947 0.2500 0.1893
C 0.2487 0.7500 0.4975
Tb 0.5000 0.5000 0.5000
Tb 0.0830 0.7500 0.1660
Ga 0.1171 0.2500 0.2342
Ga 0.8829 0.7500 0.7658
Bi 0.6058 0.7500 0.2116
Bi 0.3942 0.2500 0.7884
Tb 0.0000 0.5000 0.5000
Tb 0.0000 0.0000 0.5000
Tb 0.5000 0.0000 0.5000
Tb 0.4053 0.7500 0.8107
C 0.7513 0.2500 0.5025